Record 1
DFT (PBEsol) results for a relaxed ZnWBr2 crystal.

Output
Excess energy over the best structure of this formula in the dataset = 0.43 eV/f.u.
Calculated volume = 19.243 A^3/atom
Raw formation energy = 8.466 kcal/mol of atoms
Total moment = 0.0000 μB/atom
E_tot = -17.66 eV per formula unit

Structure (POSCAR):
```
ZnWBr2
1.0
-1.999 -2.320 0.565
0.417 -1.065 -2.897
5.992 -4.547 2.534
Br Zn W
2 1 1
Cartesian
5.624 -4.268 2.378 Br
1.136 -3.155 -0.351 Br
3.591 -5.018 0.687 Zn
3.047 -2.312 1.288 W
```

***

Record 2
DFT (PBEsol) results for a relaxed ScTcCl2 crystal.

Output
Excess energy over the best structure of this formula in the dataset = 2.49 eV/f.u.
Calculated volume = 17.680 A^3/atom
Raw formation energy = -1.611 kcal/mol of atoms
Total moment = 0.6258 μB/atom
E_tot = -22.17 eV per formula unit

Structure (POSCAR):
```
ScTcCl2
1.0
-0.780 -2.923 0.314
2.841 0.698 -1.177
3.225 -0.026 7.773
Sc Cl Tc
1 2 1
Cartesian
1.223 -1.474 4.044 Sc
0.829 -0.007 1.997 Cl
2.397 -0.019 5.776 Cl
-0.390 -1.461 0.157 Tc
```

***

Record 3
DFT (PBEsol) results for a relaxed ScGeRu crystal.

Output
ΔH_f (0 K) = -0.816 eV/atom
Calculated volume = 15.760 A^3/atom
Total moment = 0.0000 μB/atom
E_tot = -24.17 eV per formula unit

Structure (POSCAR):
```
ScGeRu
1.0
3.438 0.000 0.000
0.000 6.902 0.000
0.000 -3.451 5.977
Ge Sc Ru
3 3 3
Cartesian
1.719 3.451 1.992 Ge
1.719 0.000 3.985 Ge
0.000 0.000 0.000 Ge
0.000 1.384 2.397 Sc
0.000 -2.067 3.580 Sc
0.000 4.134 0.000 Sc
1.719 1.748 0.000 Ru
1.719 2.577 4.464 Ru
1.719 -0.874 1.513 Ru
```